Y4AgSe after structural relaxation, computed with GGA-PBE.

Cell lengths 8.905, 8.905, 8.905 Å; angles 90.00, 90.00, 90.00 degrees
Space group F-43m (No. 216)
Unique sites:
Y1 0.125 0.125 0.125 (multiplicity 16)
Ag1 0.250 0.250 0.750 (multiplicity 4)
Se1 0.000 0.000 0.500 (multiplicity 4)

Calculated values
M_tot: 0.00 μB/f.u.
DOS(E_F): 7.82 states/eV/f.u.
E_form (uncorrected): 0.32 eV/atom